# Mo2RhPb

Crystalline Mo2RhPb at its relaxed geometry (PBE, Alexandria).

Cell and atoms, written as POSCAR:
```
Mo2RhPb
1.0
3.824 0.000 0.000
0.000 3.824 0.000
0.000 0.000 4.693
Mo Rh Pb
2 1 1
Direct
0.000 0.500 0.000
0.500 0.000 0.000
0.000 0.000 0.500
0.500 0.500 0.500
```

Computed properties:
DOS(E_F) in states/eV per cell: 2.70
Formation energy from the elements in kJ per mole of atoms: 34.81


# MoRh2Pb

Crystalline MoRh2Pb at its relaxed geometry (PBE, Alexandria).

Cell and atoms, written as POSCAR:
```
MoRh2Pb
1.0
2.957 0.000 0.000
0.000 3.885 0.000
-0.008 0.000 5.872
Mo Rh Pb
1 2 1
Direct
0.000 0.000 0.000
0.499 0.500 0.225
0.501 0.500 0.775
0.000 0.000 0.500
```

Computed properties:
DOS(E_F) in states/eV per cell: 4.30
Formation energy from the elements in kJ per mole of atoms: 10.65


# MoRh2Pb

Crystalline MoRh2Pb at its relaxed geometry (PBE, Alexandria).

Cell and atoms, written as POSCAR:
```
MoRh2Pb
1.0
4.671 -1.491 0.000
4.671 1.491 0.000
-0.860 0.000 4.857
Mo Rh Pb
1 2 1
Direct
0.000 0.000 0.000
0.487 0.487 0.449
0.739 0.739 0.168
0.240 0.240 0.671
```

Computed properties:
DOS(E_F) in states/eV per cell: 4.04
Formation energy from the elements in kJ per mole of atoms: 17.18


# MoRhPb

Crystalline MoRhPb at its relaxed geometry (PBE, Alexandria).

Cell and atoms, written as POSCAR:
```
MoRhPb
1.0
-1.526 1.526 5.981
1.526 -1.526 5.981
1.526 1.526 -5.981
Mo Rh Pb
1 1 1
Direct
0.000 0.000 0.000
0.626 0.626 0.000
0.312 0.312 0.000
```

Computed properties:
DOS(E_F) in states/eV per cell: 4.10
Distance to the lowest polymorph of the same formula in meV per atom: 0
Formation energy from the elements in kJ per mole of atoms: 26.81